MgSc3Pb (PBE, optimized geometry); formation energy from the elements = 516 meV/atom; DOS(E_F) = 1.387 states/eV per atom
1.0
5.204 0.000 0.000
0.000 5.204 0.000
0.000 0.000 5.204
Sc Mg Pb
3 1 1
Direct
0.000 0.000 0.500 Sc
0.500 0.000 0.000 Sc
0.000 0.500 0.000 Sc
0.000 0.000 0.000 Mg
0.500 0.500 0.500 Pb